No. 1
TlCrP2 | Alexandria | GGA-PBEsol | optimized geometry; crystal system = tetragonal; SG = I-42d (122); calculated formation energy = 0.23 eV per atom
1.0
-5.334 -1.442 1.390
1.224 -5.477 -0.986
3.592 2.855 5.069
Cr Tl P
2 2 4
direct
0.750 0.250 0.500 Cr
0.500 0.500 0.000 Cr
0.250 0.750 0.500 Tl
0.000 0.000 0.000 Tl
0.461 0.875 0.250 P
0.789 0.375 0.250 P
0.125 0.211 0.750 P
0.625 0.539 0.750 P


No. 2
NiAs2Br | Alexandria | GGA-PBEsol | optimized geometry; ΔE to the lowest computed polymorph = 310 meV/atom; crystal system = tetragonal; SG = I4/mmm (139); formation energy without anion corrections = 47 kJ/mol of atoms
1.0
3.574 0.000 0.000
0.000 3.574 0.000
-1.787 -1.787 6.167
As Br Ni
2 1 1
direct
0.750 0.250 0.500 As
0.250 0.750 0.500 As
0.500 0.500 0.000 Br
0.000 0.000 0.000 Ni


No. 3
K2HgBr | Alexandria | GGA-PBEsol | optimized geometry; ΔE to the lowest computed polymorph = 70 meV/atom; crystal system = orthorhombic; SG = Pmm2 (25); formation energy without anion corrections = -79 kJ/mol of atoms
1.0
4.030 0.030 0.000
-0.043 5.715 0.000
0.000 0.000 5.723
Br Hg K
1 1 2
direct
0.375 0.374 0.000 Br
0.375 0.876 0.500 Hg
0.875 0.874 0.000 K
0.875 0.375 0.500 K


No. 4
LiMgZn2 | Alexandria | GGA-PBEsol | optimized geometry; crystal system = tetragonal; SG = P4mm (99); calculated formation energy = -0.09 eV per atom
1.0
-1.561 2.845 0.337
0.153 -0.300 3.245
5.214 2.859 0.019
Zn Mg Li
2 1 1
direct
0.000 0.000 0.022 Zn
0.500 0.500 0.252 Zn
0.500 0.500 0.755 Mg
0.000 0.000 0.471 Li


No. 5
KCdMo2 | Alexandria | GGA-PBEsol | optimized geometry; crystal system = monoclinic; SG = Cm (8); calculated formation energy = 0.88 eV per atom
1.0
2.643 0.000 0.000
-1.322 4.429 0.019
0.000 -0.176 7.721
Cd K Mo
1 1 2
direct
0.507 0.015 0.567 Cd
0.755 0.511 0.240 K
0.996 0.993 0.918 Mo
0.241 0.482 0.776 Mo


No. 6
Sc3InAg | Alexandria | GGA-PBEsol | optimized geometry; crystal system = cubic; SG = Pm-3m (221); calculated formation energy = 0.62 eV per atom
1.0
-3.518 -1.957 3.375
-2.699 -2.062 -4.008
2.818 -4.418 0.376
Sc Ag In
3 1 1
direct
0.000 0.500 0.000 Sc
0.000 0.000 0.500 Sc
0.500 0.000 0.000 Sc
0.500 0.500 0.500 Ag
0.000 0.000 0.000 In


No. 7
LiLaWCl2 | Alexandria | GGA-PBEsol | optimized geometry; crystal system = tetragonal; SG = P4/mmm (123); formation energy without anion corrections = 62 kJ/mol of atoms
1.0
-2.155 4.568 -1.577
-3.180 -2.641 -3.304
-4.734 -0.517 4.969
Cl Li W La
2 1 1 1
direct
0.000 0.500 0.000 Cl
0.500 0.000 0.000 Cl
0.000 0.000 0.500 Li
0.500 0.500 0.500 W
0.000 0.000 0.000 La


No. 8
LaReSb2 | Alexandria | GGA-PBEsol | optimized geometry; ΔE to the lowest computed polymorph = 273 meV/atom; crystal system = tetragonal; SG = I-4m2 (119); formation energy without anion corrections = 24 kJ/mol of atoms
1.0
-4.264 -0.938 -0.428
0.863 -4.244 0.703
1.091 3.238 4.521
La Re Sb
1 1 2
direct
0.500 0.500 0.000 La
0.250 0.750 0.500 Re
0.000 0.000 0.000 Sb
0.750 0.250 0.500 Sb


No. 9
BaNi3As | Alexandria | GGA-PBEsol | optimized geometry; crystal system = cubic; SG = Pm-3m (221); calculated formation energy = 1.88 eV per atom
1.0
-1.755 -2.243 3.824
-3.397 -1.963 -2.710
2.849 -3.722 -0.875
Ni As Ba
3 1 1
direct
0.000 0.500 0.000 Ni
0.000 0.000 0.500 Ni
0.500 0.000 0.000 Ni
0.500 0.500 0.500 As
0.000 0.000 0.000 Ba


No. 10
LiTcPt | Alexandria | GGA-PBEsol | optimized geometry; ΔE to the lowest computed polymorph = 300 meV/atom; crystal system = cubic; SG = F-43m (216); calculated formation energy = 0.30 eV per atom
1.0
4.062 0.000 0.000
2.031 3.518 0.000
2.031 1.173 3.317
Li Pt Tc
1 1 1
direct
0.500 0.500 0.500 Li
0.250 0.250 0.250 Pt
0.000 0.000 0.000 Tc


No. 11
FeRuBr2 | Alexandria | GGA-PBEsol | optimized geometry; ΔE to the lowest computed polymorph = 334 meV/atom; crystal system = cubic; SG = F-43m (216); formation energy without anion corrections = 113 kJ/mol of atoms
1.0
4.644 0.000 0.000
2.322 4.022 0.000
2.322 1.341 3.792
Br Fe Ru
2 1 1
direct
0.000 0.000 0.000 Br
0.750 0.750 0.750 Br
0.500 0.500 0.500 Fe
0.250 0.250 0.250 Ru


No. 12
AlBrCl2 | Alexandria | GGA-PBEsol | optimized geometry; ΔE to the lowest computed polymorph = 0 meV/atom; crystal system = monoclinic; SG = Pm (6); formation energy without anion corrections = -123 kJ/mol of atoms
1.0
3.363 0.000 0.000
0.000 6.433 -0.643
0.000 -3.237 5.516
Al Br Cl
1 1 2
direct
0.000 0.415 0.411 Al
0.500 0.368 0.662 Br
0.000 0.066 0.038 Cl
0.500 0.652 0.389 Cl


No. 13
LaHg2P2 | Alexandria | GGA-PBEsol | optimized geometry; ΔE to the lowest computed polymorph = 0 meV/atom; crystal system = tetragonal; SG = I4/mmm (139); calculated formation energy = -0.48 eV per atom
1.0
4.088 0.000 0.000
0.000 4.088 0.000
-2.044 -2.044 6.643
P Hg La
2 2 1
direct
0.418 0.418 0.837 P
0.582 0.582 0.163 P
0.250 0.750 0.500 Hg
0.750 0.250 0.500 Hg
0.000 0.000 0.000 La


No. 14
TcSnOsF2 | Alexandria | GGA-PBEsol | optimized geometry; crystal system = tetragonal; SG = P4/mmm (123); formation energy without anion corrections = 32 kJ/mol of atoms
1.0
-2.770 -1.102 2.436
2.628 -1.771 2.186
0.735 4.806 3.009
F Os Sn Tc
2 1 1 1
direct
0.000 0.500 0.000 F
0.500 0.000 0.000 F
0.500 0.500 0.500 Os
0.000 0.000 0.000 Sn
0.000 0.000 0.500 Tc


No. 15
YCd2Pt2 | Alexandria | GGA-PBEsol | optimized geometry; crystal system = tetragonal; SG = I4/mmm (139); calculated formation energy = -0.62 eV per atom
1.0
3.918 0.000 0.000
0.000 3.918 0.000
-1.959 -1.959 6.578
Y Pt Cd
1 2 2
direct
0.000 0.000 0.000 Y
0.402 0.402 0.804 Pt
0.598 0.598 0.196 Pt
0.250 0.750 0.500 Cd
0.750 0.250 0.500 Cd


No. 16
NaLaSn3 | Alexandria | GGA-PBEsol | optimized geometry; crystal system = cubic; SG = Pm-3m (221); calculated formation energy = 0.13 eV per atom
1.0
5.237 0.000 0.000
0.000 5.237 0.000
0.000 0.000 5.237
Na Sn La
1 3 1
direct
0.000 0.000 0.000 Na
0.000 0.500 0.000 Sn
0.000 0.000 0.500 Sn
0.500 0.000 0.000 Sn
0.500 0.500 0.500 La


No. 17
ScIr3 | Alexandria | GGA-PBEsol | optimized geometry; crystal system = cubic; SG = Pm-3m (221); calculated formation energy = -0.59 eV per atom
1.0
3.896 0.000 0.000
0.000 3.896 0.000
0.000 0.000 3.896
Sc Ir
1 3
direct
0.500 0.500 0.500 Sc
0.000 0.000 0.500 Ir
0.000 0.500 0.000 Ir
0.500 0.000 0.000 Ir


No. 18
Ca2RuO4 | Alexandria | GGA-PBEsol | optimized geometry; ΔE to the lowest computed polymorph = 0 meV/atom; crystal system = orthorhombic; SG = Pbca (61); formation energy without anion corrections = -211 kJ/mol of atoms
1.0
5.321 0.000 0.000
0.000 5.311 0.000
0.000 0.000 12.167
Ca Ru O
8 4 16
direct
0.514 0.036 0.152 Ca
0.014 0.464 0.848 Ca
0.486 0.536 0.348 Ca
0.986 0.964 0.652 Ca
0.486 0.964 0.848 Ca
0.986 0.536 0.152 Ca
0.514 0.464 0.652 Ca
0.014 0.036 0.348 Ca
0.500 0.000 0.500 Ru
0.000 0.500 0.500 Ru
0.500 0.500 0.000 Ru
0.000 0.000 0.000 Ru
0.694 0.305 0.482 O
0.194 0.195 0.518 O
0.306 0.805 0.018 O
0.806 0.695 0.982 O
0.306 0.695 0.518 O
0.806 0.805 0.482 O
0.694 0.195 0.982 O
0.194 0.305 0.018 O
0.451 0.984 0.334 O
0.951 0.516 0.666 O
0.549 0.484 0.166 O
0.049 0.016 0.834 O
0.549 0.016 0.666 O
0.049 0.484 0.334 O
0.451 0.516 0.834 O
0.951 0.984 0.166 O


No. 19
LaZr2Zn | Alexandria | GGA-PBEsol | optimized geometry; crystal system = trigonal; SG = R-3m (166); calculated formation energy = 0.10 eV per atom
1.0
-0.335 -3.154 -0.946
2.120 -2.292 1.099
-5.060 -3.457 7.531
La Zn Zr
1 1 2
direct
0.500 0.500 0.500 La
0.000 0.000 0.000 Zn
0.260 0.260 0.221 Zr
0.740 0.740 0.779 Zr


No. 20
Nb3TeI7 | Alexandria | GGA-PBEsol | optimized geometry; crystal system = trigonal; SG = P3m1 (156); formation energy without anion corrections = -54 kJ/mol of atoms
1.0
-2.857 -3.076 -5.450
-5.132 -3.255 4.528
-1.421 6.777 -3.081
Nb Te I
3 1 7
direct
0.501 0.734 0.867 Nb
0.501 0.133 0.266 Nb
0.501 0.133 0.867 Nb
0.802 0.000 0.000 Te
0.235 0.339 0.169 I
0.723 0.502 0.498 I
0.235 0.831 0.661 I
0.723 0.996 0.498 I
0.292 0.333 0.667 I
0.235 0.831 0.169 I
0.723 0.502 0.004 I


No. 21
Li2PPd2 | Alexandria | GGA-PBEsol | optimized geometry; crystal system = tetragonal; SG = P4/mbm (127); calculated formation energy = -0.50 eV per atom
1.0
4.190 0.000 0.000
0.000 6.034 0.000
0.000 0.000 6.034
P Pd Li
2 4 4
direct
0.000 0.000 0.000 P
0.000 0.500 0.500 P
0.000 0.341 0.841 Pd
0.000 0.841 0.659 Pd
0.000 0.659 0.159 Pd
0.000 0.159 0.341 Pd
0.500 0.162 0.662 Li
0.500 0.662 0.838 Li
0.500 0.838 0.338 Li
0.500 0.338 0.162 Li


No. 22
Sr2AlOs | Alexandria | GGA-PBEsol | optimized geometry; crystal system = monoclinic; SG = Cm (8); calculated formation energy = 0.00 eV per atom
1.0
4.279 0.000 0.000
-2.139 3.705 -0.020
0.000 -2.406 8.103
Sr Os Al
2 1 1
direct
0.041 0.082 0.121 Sr
0.209 0.419 0.629 Sr
0.792 0.583 0.375 Os
0.458 0.916 0.375 Al


No. 23
Sr3TiIr | Alexandria | GGA-PBEsol | optimized geometry; crystal system = cubic; SG = Pm-3m (221); calculated formation energy = 0.57 eV per atom
1.0
5.709 0.000 0.000
0.000 5.709 0.000
0.000 0.000 5.709
Sr Ir Ti
3 1 1
direct
0.000 0.500 0.000 Sr
0.000 0.000 0.500 Sr
0.500 0.000 0.000 Sr
0.000 0.000 0.000 Ir
0.500 0.500 0.500 Ti


No. 24
InPRh2Se | Alexandria | GGA-PBEsol | optimized geometry; crystal system = tetragonal; SG = P4/mmm (123); formation energy without anion corrections = 21 kJ/mol of atoms
1.0
-3.046 2.938 1.058
-2.899 -2.111 -2.484
-1.312 -2.756 3.874
P Rh Se In
1 2 1 1
direct
0.000 0.000 0.000 P
0.000 0.500 0.000 Rh
0.500 0.000 0.000 Rh
0.000 0.000 0.500 Se
0.500 0.500 0.500 In


No. 25
NiSbAs | Alexandria | GGA-PBEsol | optimized geometry; crystal system = trigonal; SG = P3m1 (156); formation energy without anion corrections = -14 kJ/mol of atoms
1.0
3.701 0.000 0.000
-1.851 3.205 0.000
0.000 0.000 4.722
As Ni Sb
1 1 1
direct
0.000 0.000 0.899 As
0.333 0.667 0.697 Ni
0.667 0.333 0.403 Sb


No. 26
KCaAu2 | Alexandria | GGA-PBEsol | optimized geometry; crystal system = orthorhombic; SG = Amm2 (38); calculated formation energy = -0.40 eV per atom
1.0
4.034 0.000 0.000
0.000 4.647 0.000
-2.017 0.000 5.743
Ca Au K
1 2 1
direct
0.509 0.500 0.018 Ca
0.952 0.000 0.904 Au
0.811 0.500 0.622 Au
0.227 0.000 0.455 K


No. 27
TiZn2RuS | Alexandria | GGA-PBEsol | optimized geometry; crystal system = tetragonal; SG = P4/mmm (123); formation energy without anion corrections = 54 kJ/mol of atoms
1.0
-0.875 3.715 1.947
-2.742 -2.276 3.111
3.732 -0.611 2.842
Ru Zn S Ti
1 2 1 1
direct
0.000 0.000 0.000 Ru
0.000 0.000 0.500 Zn
0.000 0.500 0.000 Zn
0.500 0.000 0.000 S
0.500 0.500 0.500 Ti


M_tot values (in μB per formula unit) by entry order: 1.33 0.28 0.00 0.00 0.00 1.72 4.63 0.52 0.00 0.00 5.54 0.00 0.00 0.21 0.00 0.00 0.00 1.18 0.00 0.00 0.00 0.00 3.23 0.00 0.00 0.00 2.64.